A plane-wave DFT calculation with PBE was carried out for a relaxed structure of BeFeBr3.

The calculation puts the density of states at the Fermi level at 1.36 states/eV/atom. The total magnetization comes out at 3.61 Bohr magnetons per cell. For the uncorrected formation energy, the calculation gives 0.22 eV per atom.

Structure (CIF):
```
data_BeFeBr3
_symmetry_space_group_name_H-M 'P m -3 m'
_symmetry_Int_Tables_number 221
_symmetry_space_group_name_Hall '-P 4 2 3'
_cell_length_a 4.8302
_cell_length_b 4.8302
_cell_length_c 4.8302
_cell_angle_alpha 90.00
_cell_angle_beta 90.00
_cell_angle_gamma 90.00
loop_
_atom_site_label
_atom_site_type_symbol
_atom_site_fract_x
_atom_site_fract_y
_atom_site_fract_z
Be1 Be 0.0000 0.0000 0.0000
Fe1 Fe 0.5000 0.5000 0.5000
Br1 Br 0.0000 0.0000 0.5000
```